Be4ZnCu5 (GGA-PBE, optimized geometry); energy of formation = -102 meV/atom; space group = P4/mmm; total DFT energy (no corrections) = -3.7677 eV per atom; density of states at the Fermi level = 2.3 states/eV per cell; calculated density = 6.677 Mg/m³
1.0
2.7481 0.0000 0.0000
0.0000 2.7481 0.0000
0.0000 0.0000 13.8045
Be Zn Cu
4 1 5
Direct
0.0000 0.0000 0.2170
0.0000 0.0000 0.4059
0.0000 0.0000 0.5941
0.0000 0.0000 0.7830
0.0000 0.0000 0.0000
0.5000 0.5000 0.1233
0.5000 0.5000 0.3109
0.5000 0.5000 0.5000
0.5000 0.5000 0.6891
0.5000 0.5000 0.8767